A plane-wave DFT calculation with PBE was carried out for a relaxed Ce4ZrP5 crystal.

Computed properties:
For the density, the calculation gives 5.9 g/cm3. The space-group type is I4/m.

Cell lengths 5.6834, 6.9383, 6.9383 Å; angles 80.34, 65.82, 65.82 degrees
Last column: nearest neighbours and their distance in Å.
Atoms (fractional coordinates):
P  0.7117  0.1921  0.3866  1 Zr 2.73, 5 Ce 2.84-2.90
P  0.2904  0.8079  0.6134  1 Zr 2.73, 5 Ce 2.84-2.90
P  0.9038  0.3866  0.8079  1 Zr 2.73, 5 Ce 2.84-2.90
P  0.0983  0.6134  0.1921  1 Zr 2.73, 5 Ce 2.84-2.90
P  0.5011  0.0000  0.0000  4 Ce 2.82, 2 Zr 2.84
Ce  0.4041  0.3966  0.7972  6 P 2.82-2.90
Ce  0.2013  0.2028  0.3966  6 P 2.82-2.90
Ce  0.5979  0.6034  0.2028  6 P 2.82-2.90
Ce  0.8007  0.7972  0.6034  6 P 2.82-2.90
Zr  0.0010  0.0000  0.0000  6 P 2.73-2.84

***

A plane-wave DFT calculation with PBE was carried out for a relaxed MnZnAu2 crystal.

Computed properties:
For the density, the calculation gives 12.8 g/cm3. The space-group type is Pmm2.

Cell lengths 3.2290, 3.5902, 5.7367 Å; angles 90.00, 90.00, 90.00 degrees
Last column: nearest neighbours and their distance in Å.
Atoms (fractional coordinates):
Au  0.0000  0.0000  0.9746  4 Zn 2.72, 2 Mn 2.76-2.97, 4 Au 2.97
Au  0.5000  0.5000  0.2757  4 Mn 2.72, 2 Zn 2.76-2.98, 4 Au 2.97
Mn  0.0000  0.0000  0.4930  6 Au 2.72-2.97, 4 Zn 2.85
Zn  0.5000  0.5000  0.7567  6 Au 2.72-2.98, 4 Mn 2.85

***

Number 1: energy of formation from the pure elements -1.462 eV/atom, M_tot 1.0 μB/f.u.. Number 2: energy of formation from the pure elements -0.076 eV/atom, M_tot 4.2 μB/f.u..